Record 1
A plane-wave DFT calculation with PBE was carried out for Nd2Sm4O after structural relaxation.

Geometry as CIF:
```
data_Nd2Sm4O
_chemical_formula_sum 'Nd2 Sm4 O1'
_cell_length_a 4.909
_cell_length_b 4.909
_cell_length_c 9.607
_cell_angle_alpha 104.80
_cell_angle_beta 104.80
_cell_angle_gamma 90.00
_space_group_name_H-M_alt 'P 1'
_space_group_IT_number 1
_space_group_name_Hall 'P 1'
loop_
_atom_site_label
_atom_site_fract_x
_atom_site_fract_y
_atom_site_fract_z
Nd1 0.664 0.664 0.329
Nd2 0.336 0.336 0.671
O1 0.000 0.000 0.000
Sm1 0.865 0.865 0.729
Sm2 0.135 0.135 0.271
Sm3 0.000 0.500 0.000
Sm4 0.500 0.000 0.000
```

Properties
As for the symmetry: I4/mmm (139). Its magnetic moment is 0.0 μB/f.u. The calculation puts the energy relative to the elements, uncorrected at -0.639 eV per atom.

Record 2
A plane-wave DFT calculation with PBE was carried out for DyBe4Au8 after structural relaxation.

Geometry as CIF:
```
data_DyBe4Au8
_chemical_formula_sum 'Dy1 Be4 Au8'
_cell_length_a 8.290
_cell_length_b 8.290
_cell_length_c 8.290
_cell_angle_alpha 42.03
_cell_angle_beta 42.03
_cell_angle_gamma 42.03
_space_group_name_H-M_alt 'P 1'
_space_group_IT_number 1
_space_group_name_Hall 'P 1'
loop_
_atom_site_label
_atom_site_fract_x
_atom_site_fract_y
_atom_site_fract_z
Dy1 0.000 0.000 0.000
Be1 0.500 0.500 0.500
Be2 0.500 0.500 0.000
Be3 0.000 0.500 0.500
Be4 0.500 0.000 0.500
Au1 0.780 0.267 0.267
Au2 0.267 0.267 0.780
Au3 0.267 0.780 0.267
Au4 0.270 0.270 0.270
Au5 0.730 0.730 0.730
Au6 0.733 0.733 0.220
Au7 0.733 0.220 0.733
Au8 0.220 0.733 0.733
```

Properties
As for the symmetry: R-3m (166). Its magnetic moment is 0.0 μB/f.u. The calculation puts the polymorph energy (0 for the lowest one) at 0.319 eV/atom.

Record 3
A plane-wave DFT calculation with PBE was carried out for SrHSCl2 after structural relaxation.

Geometry as CIF:
```
data_SrHSCl2
_chemical_formula_sum 'Sr1 H1 S1 Cl2'
_cell_length_a 5.163
_cell_length_b 5.163
_cell_length_c 3.628
_cell_angle_alpha 90.00
_cell_angle_beta 90.00
_cell_angle_gamma 90.00
_space_group_name_H-M_alt 'P 1'
_space_group_IT_number 1
_space_group_name_Hall 'P 1'
loop_
_atom_site_label
_atom_site_fract_x
_atom_site_fract_y
_atom_site_fract_z
Sr1 0.500 0.500 0.500
S1 0.000 0.000 0.500
H1 0.000 0.000 0.000
Cl1 0.000 0.500 0.000
Cl2 0.500 0.000 0.000
```

Properties
As for the symmetry: P4/mmm (123). Its magnetic moment is 0.9 μB/f.u. The calculation puts the polymorph energy (0 for the lowest one) at 0.000 eV/atom.

Record 4
A plane-wave DFT calculation with PBE was carried out for TaRuN2 after structural relaxation.

Geometry as CIF:
```
data_TaRuN2
_chemical_formula_sum 'Ta1 Ru1 N2'
_cell_length_a 3.866
_cell_length_b 3.866
_cell_length_c 3.866
_cell_angle_alpha 60.00
_cell_angle_beta 60.00
_cell_angle_gamma 60.00
_space_group_name_H-M_alt 'P 1'
_space_group_IT_number 1
_space_group_name_Hall 'P 1'
loop_
_atom_site_label
_atom_site_fract_x
_atom_site_fract_y
_atom_site_fract_z
Ru1 0.000 0.000 0.000
N1 0.250 0.250 0.250
N2 0.750 0.750 0.750
Ta1 0.500 0.500 0.500
```

Properties
As for the symmetry: Fm-3m (225). Its magnetic moment is 0.0 μB/f.u. The calculation puts the polymorph energy (0 for the lowest one) at 0.610 eV/atom. The calculation puts the energy relative to the elements, uncorrected at 0.344 eV per atom.

Record 5
A plane-wave DFT calculation with PBE was carried out for BC3 after structural relaxation.

Geometry as CIF:
```
data_BC3
_chemical_formula_sum 'B3 C9'
_cell_length_a 2.564
_cell_length_b 2.564
_cell_length_c 13.031
_cell_angle_alpha 90.00
_cell_angle_beta 90.00
_cell_angle_gamma 120.00
_space_group_name_H-M_alt 'P 1'
_space_group_IT_number 1
_space_group_name_Hall 'P 1'
loop_
_atom_site_label
_atom_site_fract_x
_atom_site_fract_y
_atom_site_fract_z
C1 0.000 0.000 0.883
C2 0.333 0.667 0.549
C3 0.667 0.333 0.216
C4 0.000 0.000 0.372
C5 0.333 0.667 0.039
C6 0.667 0.333 0.706
C7 0.000 0.000 0.256
C8 0.333 0.667 0.923
C9 0.667 0.333 0.590
B1 0.000 0.000 0.758
B2 0.333 0.667 0.425
B3 0.667 0.333 0.092
```

Properties
As for the symmetry: R3m (160). Its magnetic moment is 0.0 μB/f.u. The calculation puts the polymorph energy (0 for the lowest one) at 0.066 eV/atom.

Record 6
A plane-wave DFT calculation with PBE was carried out for KIn2Ag after structural relaxation.

Geometry as CIF:
```
data_KIn2Ag
_chemical_formula_sum 'K1 In2 Ag1'
_cell_length_a 4.904
_cell_length_b 4.904
_cell_length_c 6.841
_cell_angle_alpha 69.00
_cell_angle_beta 69.00
_cell_angle_gamma 60.00
_space_group_name_H-M_alt 'P 1'
_space_group_IT_number 1
_space_group_name_Hall 'P 1'
loop_
_atom_site_label
_atom_site_fract_x
_atom_site_fract_y
_atom_site_fract_z
K1 0.496 0.496 0.513
In1 0.028 0.028 0.916
In2 0.294 0.294 0.117
Ag1 0.682 0.682 0.953
```

Properties
As for the symmetry: R3m (160). Its magnetic moment is 0.0 μB/f.u. Its raw total energy is -2.428 eV per atom.